CsNiIO2: relaxed, PBE+U.

The calculation puts the total energy at -2.402 eV per atom. The magnetization is 1.18 μB per formula unit.

The structure belongs to space group P4/mmm (No. 123); the cell edges are 4.276, 4.276 and 7.855 Å and the angles 90.00°, 90.00° and 90.00°. Symmetry generates all atoms from Cs at (0.000, 0.000, 0.000), Ni at (0.500, 0.500, 0.500), I at (0.000, 0.000, 0.500) and O at (0.000, 0.500, 0.000).